No. 1
DFT (PBE) results for an optimized crystal structure of TbYTeC.

Values from the calculation:
VASP energy ... -53.902 eV/cell
Symmetry ... P6_3mc (186)

Unit cell a=3.848 b=3.848 c=14.084 alpha=90.00 beta=90.00 gamma=120.00
Fractional coordinates of all 8 atoms:
Te 0.667 0.333 0.251
Y 0.667 0.333 0.906
Te 0.333 0.667 0.751
C 0.000 0.000 0.500
Tb 0.667 0.333 0.593
Y 0.333 0.667 0.406
C 0.000 0.000 0.000
Tb 0.333 0.667 0.093

No. 2
DFT (PBE) results for an optimized crystal structure of HfZr2NiAs4Pd3.

Values from the calculation:
Excess energy over the best structure of this formula in the dataset ... 0.000 eV per atom
VASP energy ... -75.761 eV/cell
Symmetry ... Pm (6)

Unit cell a=6.621 b=3.916 c=7.662 alpha=90.00 beta=90.23 gamma=90.00
Fractional coordinates of all 11 atoms:
Hf 0.461 0.000 0.692
Ni 0.364 0.000 0.057
As 0.234 0.500 0.887
Zr 0.033 0.500 0.182
Pd 0.850 0.000 0.444
As 0.751 0.000 0.118
Pd 0.150 0.500 0.569
As 0.748 0.500 0.631
Pd 0.623 0.500 0.940
As 0.252 0.000 0.364
Zr 0.537 0.500 0.313

No. 3
DFT (PBE) results for an optimized crystal structure of ErTmMg4.

Values from the calculation:
VASP energy ... -15.520 eV/cell
Symmetry ... P2/m (10)

Unit cell a=3.261 b=5.204 c=9.009 alpha=90.00 beta=90.00 gamma=90.00
Fractional coordinates of all 6 atoms:
Er 0.000 0.000 0.000
Mg 0.504 0.500 0.833
Mg 0.496 0.500 0.167
Tm 0.000 0.500 0.500
Mg 0.496 0.000 0.666
Mg 0.504 0.000 0.334